# 1
GGA+U ZnCoSeO, relaxed; energy above the most stable polymorph in this dataset = 4.3 kJ/mol of atoms; symmetry = Pnma (62)
1.0
5.664 0.000 0.000
0.000 3.510 0.000
0.000 0.000 12.695
Co Se O Zn
4 4 4 4
direct
0.722 0.750 0.410 Co
0.778 0.250 0.910 Co
0.222 0.750 0.090 Co
0.278 0.250 0.590 Co
0.778 0.750 0.071 Se
0.722 0.250 0.571 Se
0.278 0.750 0.429 Se
0.222 0.250 0.929 Se
0.719 0.750 0.827 O
0.281 0.250 0.173 O
0.219 0.750 0.673 O
0.781 0.250 0.327 O
0.373 0.750 0.811 Zn
0.127 0.250 0.311 Zn
0.873 0.750 0.689 Zn
0.627 0.250 0.189 Zn


# 2
GGA+U ZnCoSeO, relaxed; energy above the most stable polymorph in this dataset = 12.0 kJ/mol of atoms; symmetry = P6_3mc (186)
1.0
3.561 0.000 0.000
-1.780 3.084 0.000
0.000 0.000 11.441
Se Co Zn O
2 2 2 2
direct
0.667 0.333 0.105 Se
0.333 0.667 0.605 Se
0.667 0.333 0.768 Co
0.333 0.667 0.268 Co
0.000 0.000 0.491 Zn
0.000 0.000 0.991 Zn
0.000 0.000 0.324 O
0.000 0.000 0.824 O


# 3
GGA+U ZnCoSeO, relaxed; energy above the most stable polymorph in this dataset = 62.0 kJ/mol of atoms; symmetry = P4/nmm (129)
1.0
3.960 0.000 0.000
0.000 3.960 0.000
0.000 0.000 7.940
Zn O Se Co
2 2 2 2
direct
0.250 0.250 0.847 Zn
0.750 0.750 0.153 Zn
0.750 0.750 0.916 O
0.250 0.250 0.084 O
0.750 0.250 0.500 Se
0.250 0.750 0.500 Se
0.250 0.250 0.306 Co
0.750 0.750 0.694 Co


# 4
GGA+U CoSi2O4, relaxed; symmetry = I4_1/amd (141); E_tot = -6.48 eV/atom
1.0
-4.221 3.851 0.703
5.151 0.968 2.381
-0.582 0.286 -5.720
O Si Co
8 4 2
direct
0.143 0.709 0.851 O
0.601 0.209 0.393 O
0.149 0.291 0.857 O
0.184 0.791 0.393 O
0.607 0.209 0.816 O
0.566 0.709 0.857 O
0.607 0.791 0.399 O
0.143 0.291 0.434 O
0.375 0.750 0.125 Si
0.375 0.250 0.625 Si
0.875 0.250 0.625 Si
0.375 0.750 0.625 Si
0.750 0.500 0.250 Co
0.000 0.000 0.000 Co


# 5
GGA+U Sm3CoO6, relaxed; symmetry = Cmc2_1 (36); E_tot = -7.66 eV/atom
1.0
1.998 2.779 -6.377
-3.762 -5.873 -1.933
-4.631 3.012 -0.138
O Co Sm
12 2 6
direct
0.460 0.540 0.274 O
0.916 0.395 0.751 O
0.605 0.084 0.751 O
0.145 0.175 0.231 O
0.540 0.460 0.774 O
0.718 0.282 0.254 O
0.395 0.916 0.251 O
0.825 0.855 0.231 O
0.282 0.718 0.754 O
0.855 0.825 0.731 O
0.084 0.605 0.251 O
0.175 0.145 0.731 O
0.314 0.686 0.430 Co
0.686 0.314 0.930 Co
0.896 0.104 0.508 Sm
0.104 0.896 0.008 Sm
0.803 0.587 0.459 Sm
0.413 0.197 0.459 Sm
0.197 0.413 0.959 Sm
0.587 0.803 0.959 Sm


# 6
GGA+U Co6SnO8, relaxed; symmetry = Fm-3m (225); E_tot = -6.01 eV/atom
1.0
-3.107 -3.160 4.146
-5.261 -2.625 -1.502
-0.361 -6.042 -0.434
Sn Co O
1 6 8
direct
0.000 0.000 0.000 Sn
0.000 0.500 0.000 Co
0.500 0.000 0.500 Co
0.000 0.000 0.500 Co
0.000 0.500 0.500 Co
0.500 0.000 0.000 Co
0.500 0.500 0.000 Co
0.760 0.240 0.240 O
0.250 0.250 0.250 O
0.760 0.760 0.240 O
0.750 0.750 0.750 O
0.240 0.760 0.760 O
0.240 0.760 0.240 O
0.760 0.240 0.760 O
0.240 0.240 0.760 O